{"formula": "Zn2PdPt2", "functional": "GGA-PBE", "state": "relaxed", "lattice": [[7.3370, 0.0000, 0.0000], [0.0000, 7.3370, 0.0000], [0.0000, 0.0000, 2.8493]], "species": ["Zn", "Zn", "Zn", "Zn", "Pd", "Pd", "Pt", "Pt", "Pt", "Pt"], "fractional_positions": [[0.1467, 0.3533, 0.0000], [0.3533, 0.8533, 0.0000], [0.6467, 0.1467, 0.0000], [0.8533, 0.6467, 0.0000], [0.0000, 0.0000, 0.0000], [0.5000, 0.5000, 0.0000], [0.1510, 0.6510, 0.5000], [0.3490, 0.1510, 0.5000], [0.6510, 0.8490, 0.5000], [0.8490, 0.3490, 0.5000]], "relative_energy_mev_per_atom": 0, "space_group": "P4/mbm, No. 127", "magmom_total_mub_per_atom": 0.000, "formation_enthalpy_0k_kj_per_mol_fu": -180}